[1]
Entry from the Alexandria database: an optimized crystal structure of CuTeW2 (GGA-PBE).

Energy = -7.593 eV per atom
Total magnetization = 0.00 μB/cell
DOS(E_F) = 5.03 states/eV per cell

a = 3.485 Å, b = 4.471 Å, c = 8.523 Å
α = 90.00°, β = 90.00°, γ = 90.00°
Space group Imm2 (No. 44)
Symmetry-distinct sites (fractional):
Cu 0.000 0.000 0.000 (multiplicity 2)
Te 0.000 0.500 0.745 (multiplicity 2)
W 0.000 0.000 0.503 (multiplicity 2)
W 0.000 0.500 0.246 (multiplicity 2)

[2]
Entry from the Alexandria database: an optimized crystal structure of CuTe3W (GGA-PBE).

Total magnetization = 2.74 μB/cell
ΔE to the lowest computed polymorph = 180 kJ/mol of formula units
DOS(E_F) = 4.40 states/eV per cell

a = 5.024 Å, b = 5.024 Å, c = 5.024 Å
α = 90.00°, β = 90.00°, γ = 90.00°
Space group Pm-3m (No. 221)
Symmetry-distinct sites (fractional):
Cu 0.000 0.000 0.000 (multiplicity 1)
Te 0.000 0.000 0.500 (multiplicity 3)
W 0.500 0.500 0.500 (multiplicity 1)

[3]
Entry from the Alexandria database: an optimized crystal structure of CuTeW3 (GGA-PBE).

Total magnetization = 0.00 μB/cell
ΔE to the lowest computed polymorph = 0 kJ/mol of formula units
DOS(E_F) = 6.28 states/eV per cell

a = 4.589 Å, b = 4.589 Å, c = 4.589 Å
α = 90.00°, β = 90.00°, γ = 90.00°
Space group Pm-3m (No. 221)
Symmetry-distinct sites (fractional):
Cu 0.000 0.000 0.000 (multiplicity 1)
Te 0.500 0.500 0.500 (multiplicity 1)
W 0.000 0.000 0.500 (multiplicity 3)